Below is a relaxed BaLi2Sm crystal, with properties calculated at the PBE level.

Cell: 4.0368 4.0368 8.3008 Å, 90.00 90.00 90.00°
Space group P4/mmm (No. 123)
One atom of each set of equivalent atoms:
Ba1 0.0000 0.0000 0.0000 [1 per cell]
Li1 0.5000 0.5000 0.2915 [2 per cell]
Sm1 0.0000 0.0000 0.5000 [1 per cell]

Values from the calculation:
- Density of states at the Fermi level: 1.71 states/eV/atom
- Total DFT energy (no corrections): -9.82 eV per formula unit
- Calculated volume: 33.82 Å³/atom
- Energy of formation from the pure elements: 0.16 eV/atom
- Energy relative to the lowest polymorph listed for this composition: 0.000 eV per atom

Below is a relaxed Ce5ErSn6 crystal, with properties calculated at the PBE level.

Cell: 4.9315 8.9688 7.7849 Å, 90.00 108.05 90.00°
Space group P2/m (No. 10)
One atom of each set of equivalent atoms:
Ce1 0.0000 0.0000 0.0000 [1 per cell]
Ce2 0.3334 0.0000 0.6661 [2 per cell]
Ce3 0.3342 0.5000 0.6673 [2 per cell]
Er1 0.0000 0.5000 0.0000 [1 per cell]
Sn1 0.1643 0.2521 0.3291 [4 per cell]
Sn2 0.5000 0.2536 0.0000 [2 per cell]

Values from the calculation:
- Density of states at the Fermi level: 2.67 states/eV/atom
- Total DFT energy (no corrections): -65.34 eV per formula unit
- Calculated volume: 27.28 Å³/atom
- Energy of formation from the pure elements: -0.59 eV/atom

Below is a relaxed LuZrOs crystal, with properties calculated at the PBE level.

Cell: 2.9599 2.9599 15.3672 Å, 90.00 90.00 90.00°
Space group I4mm (No. 107)
One atom of each set of equivalent atoms:
Lu1 0.0000 0.0000 0.0000 [2 per cell]
Zr1 0.0000 0.0000 0.6688 [2 per cell]
Os1 0.0000 0.0000 0.8308 [2 per cell]

Values from the calculation:
- Density of states at the Fermi level: 1.23 states/eV/atom
- Total DFT energy (no corrections): -21.59 eV per formula unit
- Calculated volume: 22.44 Å³/atom
- Energy of formation from the pure elements: 0.90 eV/atom
- Energy relative to the lowest polymorph listed for this composition: 1.132 eV per atom

Below is a relaxed Sr2PmH12Pd3 crystal, with properties calculated at the PBE level.

Cell: 6.7467 6.7467 15.1850 Å, 90.00 90.00 120.00°
Space group R-3m (No. 166, hexagonal axes)
One atom of each set of equivalent atoms:
Sr1 0.0000 0.0000 0.1138 [6 per cell]
Pm1 0.0000 0.0000 0.5000 [3 per cell]
H1 0.0345 0.5172 0.8852 [18 per cell]
H2 0.0736 0.5368 0.3119 [18 per cell]
Pd1 0.0000 0.5000 0.0000 [9 per cell]

Values from the calculation:
- Density of states at the Fermi level: 0.24 states/eV/atom
- Total DFT energy (no corrections): -69.87 eV per formula unit
- Calculated volume: 11.09 Å³/atom

Below is a relaxed PrHfTc4 crystal, with properties calculated at the PBE level.

Cell: 7.6150 7.6150 7.6150 Å, 90.00 90.00 90.00°
Space group F-43m (No. 216)
One atom of each set of equivalent atoms:
Pr1 0.0000 0.0000 0.0000 [4 per cell]
Hf1 0.2500 0.2500 0.2500 [4 per cell]
Tc1 0.1245 0.1245 0.6245 [16 per cell]

Values from the calculation:
- Density of states at the Fermi level: 1.90 states/eV/atom
- Total DFT energy (no corrections): -56.31 eV per formula unit
- Calculated volume: 18.40 Å³/atom
- Energy of formation from the pure elements: -0.02 eV/atom

Below is a relaxed Cd5I3Br12 crystal, with properties calculated at the PBE level.

Cell: 18.1360 18.1360 18.1360 Å, 90.00 90.00 90.00°
Space group Ia-3d (No. 230)
One atom of each set of equivalent atoms:
Cd1 0.0000 0.0000 0.0000 [16 per cell]
Cd2 0.0000 0.2500 0.3750 [24 per cell]
I1 0.0000 0.2500 0.1250 [24 per cell]
Br1 0.0294 0.0426 0.6475 [96 per cell]

Values from the calculation:
- Density of states at the Fermi level: 0.66 states/eV/atom
- Total DFT energy (no corrections): -37.18 eV per formula unit
- Calculated volume: 37.28 Å³/atom

Below is a relaxed PmTi6 crystal, with properties calculated at the PBE level.

Cell: 6.9664 6.9664 6.9664 Å, 90.00 90.00 90.00°
Space group Im-3m (No. 229)
One atom of each set of equivalent atoms:
Pm1 0.0000 0.0000 0.0000 [2 per cell]
Ti1 0.0000 0.2500 0.5000 [12 per cell]

Values from the calculation:
- Density of states at the Fermi level: 1.70 states/eV/atom
- Total DFT energy (no corrections): -42.74 eV per formula unit
- Calculated volume: 24.15 Å³/atom
- Energy of formation from the pure elements: 1.34 eV/atom

Below is a relaxed Ce4Th7In crystal, with properties calculated at the PBE level.

Cell: 15.6832 5.9566 9.5155 Å, 90.00 122.08 90.00°
Space group C2/m (No. 12)
One atom of each set of equivalent atoms:
Ce1 0.0459 0.0000 0.1666 [4 per cell]
Ce2 0.1866 0.0000 0.8657 [4 per cell]
Th1 0.0000 0.0000 0.5000 [2 per cell]
Th2 0.0805 0.5000 0.9320 [4 per cell]
Th3 0.2047 0.5000 0.3853 [4 per cell]
Th4 0.2445 0.5000 0.7703 [4 per cell]
In1 0.0000 0.5000 0.5000 [2 per cell]

Values from the calculation:
- Density of states at the Fermi level: 2.11 states/eV/atom
- Total DFT energy (no corrections): -75.51 eV per formula unit
- Calculated volume: 31.38 Å³/atom
- Energy of formation from the pure elements: 0.24 eV/atom

Below is a relaxed GdLuO3 crystal, with properties calculated at the PBE level.

Cell: 5.9158 8.3008 5.6555 Å, 90.00 90.00 90.00°
Space group Pnma (No. 62)
One atom of each set of equivalent atoms:
Gd1 0.0543 0.2500 0.0191 [4 per cell]
Lu1 0.0000 0.0000 0.5000 [4 per cell]
O1 0.0672 0.7500 0.3612 [4 per cell]
O2 0.1919 0.5736 0.8113 [8 per cell]

Values from the calculation:
- Density of states at the Fermi level: 0.00 states/eV/atom
- Total DFT energy (no corrections): -51.15 eV per formula unit
- Calculated volume: 13.89 Å³/atom

Below is a relaxed Zr4Zn3 crystal, with properties calculated at the PBE level.

Cell: 3.0944 3.0944 28.5912 Å, 90.00 90.00 90.00°
Space group I4/mmm (No. 139)
One atom of each set of equivalent atoms:
Zr1 0.0000 0.0000 0.0700 [4 per cell]
Zr2 0.0000 0.0000 0.3478 [4 per cell]
Zn1 0.0000 0.0000 0.2234 [4 per cell]
Zn2 0.0000 0.0000 0.5000 [2 per cell]

Values from the calculation:
- Density of states at the Fermi level: 0.95 states/eV/atom
- Total DFT energy (no corrections): -39.16 eV per formula unit
- Calculated volume: 19.55 Å³/atom
- Energy of formation from the pure elements: -0.16 eV/atom
- Energy relative to the lowest polymorph listed for this composition: 0.064 eV per atom

Below is a relaxed Cs3Tl2Bi4 crystal, with properties calculated at the PBE level.

Cell: 5.5368 7.7796 10.8239 Å, 104.62 90.07 110.84°
Space group P-1 (No. 2)
One atom of each set of equivalent atoms:
Cs1 0.0000 0.0000 0.0000 [1 per cell]
Cs2 0.4048 0.8115 0.6289 [2 per cell]
Tl1 0.2522 0.5032 0.2687 [2 per cell]
Bi1 0.1167 0.2343 0.6938 [2 per cell]
Bi2 0.2764 0.5530 0.9450 [2 per cell]

Values from the calculation:
- Density of states at the Fermi level: 0.17 states/eV/atom
- Total DFT energy (no corrections): -25.07 eV per formula unit
- Calculated volume: 46.61 Å³/atom
- Energy of formation from the pure elements: -0.25 eV/atom

Below is a relaxed Sr2CuPbO5 crystal, with properties calculated at the PBE level.

Cell: 3.4474 14.9041 10.2464 Å, 90.00 90.00 90.00°
Space group Cmc2_1 (No. 36)
One atom of each set of equivalent atoms:
Sr1 0.0000 0.1124 0.0000 [4 per cell]
Sr2 0.0000 0.1221 0.6123 [4 per cell]
Cu1 0.0000 0.4718 0.7726 [4 per cell]
Pb1 0.0000 0.2132 0.3132 [4 per cell]
O1 0.0000 0.0570 0.3341 [4 per cell]
O2 0.0000 0.2901 0.9586 [4 per cell]
O3 0.0000 0.2968 0.6694 [4 per cell]
O4 0.0000 0.3592 0.3105 [4 per cell]
O5 0.0000 0.4982 0.5908 [4 per cell]

Values from the calculation:
- Density of states at the Fermi level: 0.27 states/eV/atom
- Total DFT energy (no corrections): -50.90 eV per formula unit
- Calculated volume: 14.62 Å³/atom

Below is a relaxed Ac2ZnIn6Rh crystal, with properties calculated at the PBE level.

Cell: 10.3826 10.4290 7.2798 Å, 90.00 134.18 90.00°
Space group C2/m (No. 12)
One atom of each set of equivalent atoms:
Ac1 0.0000 0.2489 0.0000 [4 per cell]
Zn1 0.0000 0.5000 0.5000 [2 per cell]
In1 0.0000 0.2512 0.5000 [4 per cell]
In2 0.2504 0.0000 0.0019 [4 per cell]
In3 0.2501 0.0000 0.4978 [4 per cell]
Rh1 0.0000 0.0000 0.5000 [2 per cell]

Values from the calculation:
- Density of states at the Fermi level: 0.55 states/eV/atom
- Total DFT energy (no corrections): -35.00 eV per formula unit
- Calculated volume: 28.27 Å³/atom
- Energy of formation from the pure elements: -0.17 eV/atom

Below is a relaxed CeTi3O8 crystal, with properties calculated at the PBE level.

Cell: 5.7356 5.7356 6.1854 Å, 90.00 90.00 120.00°
Space group P-3m1 (No. 164)
One atom of each set of equivalent atoms:
Ce1 0.0000 0.0000 0.0000 [1 per cell]
Ti1 0.0000 0.0000 0.5000 [1 per cell]
Ti2 0.3333 0.6667 0.7803 [2 per cell]
O1 0.1497 0.2994 0.7065 [6 per cell]
O2 0.3333 0.6667 0.0549 [2 per cell]

Values from the calculation:
- Total DFT energy (no corrections): -104.59 eV per formula unit
- Calculated volume: 14.68 Å³/atom

Below is a relaxed KTl2W crystal, with properties calculated at the PBE level.

Cell: 3.0603 3.0603 10.2634 Å, 90.00 90.00 90.00°
Space group P4/mmm (No. 123)
One atom of each set of equivalent atoms:
K1 0.0000 0.0000 0.0000 [1 per cell]
Tl1 0.5000 0.5000 0.2776 [2 per cell]
W1 0.0000 0.0000 0.5000 [1 per cell]

Values from the calculation:
- Density of states at the Fermi level: 0.54 states/eV/atom
- Total DFT energy (no corrections): -16.10 eV per formula unit
- Calculated volume: 24.03 Å³/atom
- Energy of formation from the pure elements: 0.67 eV/atom
- Energy relative to the lowest polymorph listed for this composition: 0.000 eV per atom

Below is a relaxed Tl3Sn crystal, with properties calculated at the PBE level.

Cell: 5.0657 5.0657 9.3427 Å, 90.00 90.00 90.00°
Space group I4/mmm (No. 139)
One atom of each set of equivalent atoms:
Tl1 0.0000 0.0000 0.0000 [2 per cell]
Tl2 0.0000 0.5000 0.2500 [4 per cell]
Sn1 0.0000 0.0000 0.5000 [2 per cell]

Values from the calculation:
- Density of states at the Fermi level: 0.43 states/eV/atom
- Total DFT energy (no corrections): -10.97 eV per formula unit
- Calculated volume: 29.97 Å³/atom
- Energy of formation from the pure elements: 0.03 eV/atom

Below is a relaxed Ac8CoRh3I4 crystal, with properties calculated at the PBE level.

Cell: 15.0533 8.6886 10.0245 Å, 90.00 120.01 90.00°
Space group C2/m (No. 12)
One atom of each set of equivalent atoms:
Ac1 0.0204 0.2449 0.3168 [8 per cell]
Ac2 0.2253 0.0000 0.6836 [4 per cell]
Ac3 0.2287 0.5000 0.6856 [4 per cell]
Co1 0.0000 0.0000 0.5000 [2 per cell]
Rh1 0.0000 0.5000 0.5000 [2 per cell]
Rh2 0.2500 0.2500 0.5000 [4 per cell]
I1 0.0000 0.0000 0.0000 [2 per cell]
I2 0.0000 0.5000 0.0000 [2 per cell]
I3 0.2500 0.2500 0.0000 [4 per cell]

Values from the calculation:
- Density of states at the Fermi level: 0.18 states/eV/atom
- Total DFT energy (no corrections): -83.34 eV per formula unit
- Calculated volume: 35.48 Å³/atom

Below is a relaxed Sm3Dy3Y2 crystal, with properties calculated at the PBE level.

Cell: 5.0633 5.0659 20.2693 Å, 90.00 90.00 90.00°
Space group Immm (No. 71)
One atom of each set of equivalent atoms:
Sm1 0.0000 0.0000 0.0000 [2 per cell]
Sm2 0.0000 0.5000 0.1244 [4 per cell]
Dy1 0.0000 0.0000 0.5000 [2 per cell]
Dy2 0.0000 0.5000 0.3749 [4 per cell]
Y1 0.0000 0.0000 0.2497 [4 per cell]

Values from the calculation:
- Density of states at the Fermi level: 1.49 states/eV/atom
- Total DFT energy (no corrections): -40.74 eV per formula unit
- Calculated volume: 32.49 Å³/atom
- Energy of formation from the pure elements: 0.02 eV/atom
- Energy relative to the lowest polymorph listed for this composition: 0.002 eV per atom

Below is a relaxed Cs2NiHgAs crystal, with properties calculated at the PBE level.

Cell: 6.8425 6.8425 4.4001 Å, 90.00 90.00 90.00°
Space group P4/mmm (No. 123)
One atom of each set of equivalent atoms:
Cs1 0.0000 0.5000 0.0000 [2 per cell]
Ni1 0.0000 0.0000 0.0000 [1 per cell]
Hg1 0.5000 0.5000 0.5000 [1 per cell]
As1 0.0000 0.0000 0.5000 [1 per cell]

Values from the calculation:
- Density of states at the Fermi level: 0.57 states/eV/atom
- Total DFT energy (no corrections): -13.21 eV per formula unit
- Calculated volume: 41.20 Å³/atom
- Energy of formation from the pure elements: -0.15 eV/atom
- Energy relative to the lowest polymorph listed for this composition: 0.000 eV per atom

Below is a relaxed La2NdPbO crystal, with properties calculated at the PBE level.

Cell: 5.0701 5.0701 5.0542 Å, 90.00 90.00 90.00°
Space group P4/mmm (No. 123)
One atom of each set of equivalent atoms:
La1 0.0000 0.5000 0.0000 [2 per cell]
Nd1 0.0000 0.0000 0.5000 [1 per cell]
Pb1 0.5000 0.5000 0.5000 [1 per cell]
O1 0.0000 0.0000 0.0000 [1 per cell]

Values from the calculation:
- Density of states at the Fermi level: 0.86 states/eV/atom
- Total DFT energy (no corrections): -30.44 eV per formula unit
- Calculated volume: 25.98 Å³/atom